Record 1
Rb2TlCd2 | PBE | optimized geometry

a b c (Å): 8.1835 8.1835 6.0182
angles (deg): 90.00 90.00 90.00
Element x y z (fractional)
Tl (0.0000, 0.0000, 0.0000)
Tl (0.5000, 0.5000, 0.0000)
Rb (0.1794, 0.6794, 0.5000)
Rb (0.6794, 0.8206, 0.5000)
Rb (0.8206, 0.3206, 0.5000)
Rb (0.3206, 0.1794, 0.5000)
Cd (0.3693, 0.8693, 0.0000)
Cd (0.8693, 0.6307, 0.0000)
Cd (0.6307, 0.1307, 0.0000)
Cd (0.1307, 0.3693, 0.0000)

Output
polymorph energy (0 for the lowest one): 57 meV/atom
formation energy: -0.004 eV per atom
crystal system: tetragonal

=====

Record 2
ZnSbIr2 | PBE | optimized geometry

a b c (Å): 2.9313 2.9313 8.9579
angles (deg): 90.00 90.00 119.28
Element x y z (fractional)
Ir (0.0000, 0.0000, 0.9846)
Ir (0.0000, 0.0000, 0.5154)
Sb (0.5000, 0.5000, 0.2500)
Zn (0.5000, 0.5000, 0.7500)

Output
polymorph energy (0 for the lowest one): 358 meV/atom
crystal system: orthorhombic
raw formation energy: 0.317 eV/atom

=====

Record 3
Pm4Pr3HoSe8 | PBE | optimized geometry

a b c (Å): 8.4271 8.4046 8.4252
angles (deg): 120.06 120.01 90.00
Element x y z (fractional)
Pm (0.5000, 0.0000, 0.0000)
Pm (0.5000, 0.0000, 0.5000)
Pm (0.0000, 0.0000, 0.0000)
Pm (0.0000, 0.0000, 0.5000)
Pr (0.5000, 0.5000, 0.0000)
Pr (0.5000, 0.5000, 0.5000)
Pr (0.0000, 0.5000, 0.5000)
Ho (0.0000, 0.5000, 0.0000)
Se (0.2449, 0.7489, 0.0040)
Se (0.2449, 0.7489, 0.4897)
Se (0.2479, 0.2437, 0.4958)
Se (0.7592, 0.7489, 0.0040)
Se (0.2408, 0.2511, 0.9960)
Se (0.7521, 0.7563, 0.5042)
Se (0.7551, 0.2511, 0.5103)
Se (0.7551, 0.2511, 0.9960)

Output
crystal system: trigonal
raw formation energy: -1.815 eV/atom

=====

Record 4
Co2TcPb | PBE | optimized geometry

a b c (Å): 4.4725 4.4725 4.9997
angles (deg): 80.40 80.40 39.50
Site moments in Bohr magnetons follow the coordinates.
Element x y z (fractional)
Co (0.0126, 0.0126, 0.9376)  1.10
Co (0.4874, 0.4874, 0.5624)  1.10
Pb (0.2500, 0.2500, 0.2500)  -0.03
Tc (0.7500, 0.7500, 0.7500)  0.71

Output
formation energy: 0.551 eV per atom
crystal system: monoclinic

=====

Record 5
CaIn2Cl | PBE | optimized geometry

a b c (Å): 3.4227 3.4227 10.1632
angles (deg): 90.00 90.00 90.00
Element x y z (fractional)
Ca (0.0000, 0.0000, 0.5188)
Cl (0.5000, 0.5000, 0.6612)
In (0.0000, 0.0000, 0.0420)
In (0.5000, 0.5000, 0.2780)

Output
polymorph energy (0 for the lowest one): 0 meV/atom
crystal system: tetragonal
raw formation energy: -0.831 eV/atom

=====

Record 6
Al3CdCo | PBE | optimized geometry

a b c (Å): 4.5436 4.5436 4.5436
angles (deg): 90.00 90.00 90.00
Element x y z (fractional)
Co (0.0000, 0.0000, 0.0000)
Al (0.0000, 0.5000, 0.0000)
Al (0.0000, 0.0000, 0.5000)
Al (0.5000, 0.0000, 0.0000)
Cd (0.5000, 0.5000, 0.5000)

Output
polymorph energy (0 for the lowest one): 0 meV/atom
formation energy: -0.030 eV per atom
crystal system: cubic

=====

Record 7
KBeZn2Re | PBE | optimized geometry

a b c (Å): 6.0839 6.3099 6.0839
angles (deg): 90.00 90.00 90.00
Site moments in Bohr magnetons follow the coordinates.
Element x y z (fractional)
Re (0.0000, 0.5000, 0.0000)  3.58
Zn (0.0000, 0.0000, 0.5000)  -0.01
Zn (0.5000, 0.0000, 0.0000)  -0.01
K (0.0000, 0.0000, 0.0000)  0.00
Be (0.5000, 0.5000, 0.5000)  -0.01

Output
formation energy: 2.526 eV per atom
crystal system: tetragonal

=====

Record 8
Sr2NpPdSe5 | PBE | optimized geometry

a b c (Å): 4.1278 9.3371 12.8238
angles (deg): 90.00 90.00 102.77
Site moments in Bohr magnetons follow the coordinates.
Element x y z (fractional)
Sr (0.8863, 0.7725, 0.8357)  0.00
Sr (0.1189, 0.2379, 0.6936)  -0.01
Sr (0.1137, 0.2275, 0.3357)  0.00
Sr (0.8811, 0.7621, 0.1936)  -0.01
Np (0.8038, 0.6075, 0.5201)  3.14
Np (0.1962, 0.3925, 0.0201)  3.14
Pd (0.5641, 0.1281, 0.9305)  -0.12
Pd (0.4359, 0.8719, 0.4305)  -0.12
Se (0.3491, 0.6981, 0.0139)  -0.08
Se (0.6997, 0.3994, 0.8687)  -0.12
Se (0.4996, 0.9992, 0.7572)  -0.01
Se (0.3004, 0.6009, 0.6700)  -0.11
Se (0.9561, 0.9122, 0.5343)  -0.10
Se (0.6509, 0.3019, 0.5139)  -0.08
Se (0.3003, 0.6006, 0.3687)  -0.12
Se (0.5004, 0.0008, 0.2572)  -0.01
Se (0.6996, 0.3991, 0.1700)  -0.11
Se (0.0439, 0.0878, 0.0343)  -0.10

Output
crystal system: orthorhombic
raw formation energy: -1.286 eV/atom